A plane-wave DFT calculation with PBE-GGA was carried out for crystalline MgBS at its relaxed geometry. Values from VASP.

Properties
**Energy relative to the lowest polymorph listed for this composition**: 102 meV per atom
**Magnetic moment**: 0.00 Bohr magnetons per cell
**Crystal system**: triclinic
**Energy relative to the elements, uncorrected**: -1.2 eV per formula unit

Structure (Quantum ESPRESSO input):
```
&SYSTEM
  ibrav = 0, nat = 6, ntyp = 3
/
ATOMIC_SPECIES
Mg 24.30 Mg.upf
B 10.81 B.upf
S 32.06 S.upf
ATOMIC_POSITIONS angstrom
Mg 0.000 0.000 0.000
Mg 2.187 3.983 3.997
B 1.776 0.508 1.990
B 3.433 1.131 2.066
S 3.825 4.125 5.849
S 3.908 2.928 2.372
CELL_PARAMETERS angstrom
3.288 0.000 0.000
1.608 4.283 0.000
0.599 1.342 7.027
```